Tb3Er | GGA-PBE | optimized geometry

Computed properties:
V   31.850 Å³ per atom
Fermi-level density of states   10.30 states/eV/cell
Crystal system   cubic
E_form   0.579 eV/f.u.
Electronic total energy   -17.87 eV per cell

a = 5.648 Å, b = 5.648 Å, c = 5.648 Å
α = 60.00°, β = 60.00°, γ = 60.00°
Element x y z (fractional)
Tb: 0.000 0.000 0.000
Tb: 0.750 0.750 0.750
Tb: 0.250 0.250 0.250
Er: 0.500 0.500 0.500